w.
This record from the Alexandria database describes an optimized crystal structure of Tb3Sm2Er7. The functional is PBE.

Computed properties:
For the density, the calculation gives 8.49 g/cm³. The symmetry is Cmmm (65).

Lattice parameters (Å, degrees): 19.016 19.016 3.584 90.00 90.00 162.90
Fractional positions:
Tb1 0.000 0.000 0.000
Tb2 0.186 0.814 0.000
Tb3 0.814 0.186 0.000
Sm1 0.353 0.647 0.500
Sm2 0.647 0.353 0.500
Er1 0.090 0.910 0.500
Er2 0.270 0.730 0.500
Er3 0.429 0.571 0.000
Er4 0.500 0.500 0.500
Er5 0.571 0.429 0.000
Er6 0.730 0.270 0.500
Er7 0.910 0.090 0.500


x.
This record from the Alexandria database describes an optimized crystal structure of Tb3Sm2Er7. The functional is PBE.

Computed properties:
For the density, the calculation gives 8.51 g/cm³. The symmetry is P2/m (10).

Lattice parameters (Å, degrees): 6.293 3.501 17.356 90.00 96.22 90.00
Fractional positions:
Tb1 0.000 0.000 0.000
Tb2 0.049 0.500 0.658
Tb3 0.951 0.500 0.342
Sm1 0.440 0.000 0.326
Sm2 0.560 0.000 0.674
Er1 0.226 0.500 0.164
Er2 0.245 0.000 0.501
Er3 0.274 0.000 0.834
Er4 0.500 0.500 0.000
Er5 0.726 0.000 0.166
Er6 0.755 0.000 0.499
Er7 0.774 0.500 0.836


x is the most stable structure; the next one sits 28 meV/atom above it.


w.
This record from the Alexandria database describes an optimized crystal structure of Tb3SmEr5. The functional is PBE.

Computed properties:
For the density, the calculation gives 7.54 g/cm³. The symmetry is C2/m (12).

Lattice parameters (Å, degrees): 9.438 9.438 9.917 121.34 121.34 73.60
Fractional positions:
Tb1 0.000 0.000 0.000
Tb2 0.009 0.009 0.312
Tb3 0.479 0.479 0.137
Tb4 0.500 0.500 0.500
Tb5 0.521 0.521 0.863
Tb6 0.991 0.991 0.688
Sm1 0.251 0.251 0.097
Sm2 0.749 0.749 0.903
Er1 0.099 0.600 0.749
Er2 0.220 0.220 0.727
Er3 0.240 0.760 0.500
Er4 0.276 0.276 0.460
Er5 0.400 0.901 0.251
Er6 0.600 0.099 0.749
Er7 0.724 0.724 0.540
Er8 0.760 0.240 0.500
Er9 0.780 0.780 0.273
Er10 0.901 0.400 0.251


x.
This record from the Alexandria database describes an optimized crystal structure of Tb3SmEr5. The functional is PBE.

Computed properties:
For the density, the calculation gives 8.21 g/cm³. The symmetry is C2/c (15).

Lattice parameters (Å, degrees): 9.107 9.107 11.196 91.05 91.05 39.64
Fractional positions:
Tb1 0.000 0.000 0.000
Tb2 0.000 0.000 0.500
Tb3 0.121 0.551 0.915
Tb4 0.449 0.879 0.585
Tb5 0.551 0.121 0.415
Tb6 0.879 0.449 0.085
Sm1 0.123 0.877 0.750
Sm2 0.877 0.123 0.250
Er1 0.028 0.628 0.254
Er2 0.109 0.561 0.589
Er3 0.372 0.972 0.246
Er4 0.404 0.596 0.250
Er5 0.439 0.891 0.911
Er6 0.561 0.109 0.089
Er7 0.596 0.404 0.750
Er8 0.628 0.028 0.754
Er9 0.891 0.439 0.411
Er10 0.972 0.372 0.746


x is the most stable structure; the next one sits 195 meV/atom above it.